Below is a geometry-optimized Hf3NbTc structure, with properties calculated at the GGA-PBE level.

D(E_F): 11.62 states/eV/cell
V: 194.7 Å³/cell
calculated formation energy: -0.153 eV/atom
E: -10.21 eV/atom
space-group type: C2/m, No. 12

```
10
Lattice="5.1293 -2.3534 0.0000 5.1293 2.3534 0.0000 -2.0803 0.0000 8.0633" Properties=species:S:1:pos:R:3 pbc="T T T"
Hf -0.0626 0.0000 2.8092
Hf 0.9842 0.0000 6.1718
Hf 4.1245 0.0000 1.0838
Hf 4.0538 0.0000 6.9795
Hf 7.1941 0.0000 1.8915
Hf 8.2408 0.0000 5.2541
Nb 2.8384 0.0000 3.6194
Nb 5.3398 0.0000 4.4439
Tc 1.3839 0.0000 0.3948
Tc 6.7944 0.0000 7.6685
```